No. 1
A relaxed structure of LiLa2Zn9, computed with PBE.

```
LiLa2Zn9
1.0
5.5423 0.0000 0.0000
2.7712 4.7998 0.0000
2.7712 1.5999 8.7799
Zn La Li
9 2 1
direct
0.0773 0.5812 0.7603
0.5812 0.5812 0.7603
0.3347 0.3347 0.9960
0.5000 0.5000 0.5000
0.4188 0.9227 0.2397
0.5812 0.0773 0.7603
0.9227 0.4188 0.2397
0.4188 0.4188 0.2397
0.6653 0.6653 0.0040
0.1412 0.1412 0.5763
0.8588 0.8588 0.4237
0.0000 0.0000 0.0000
```

Computed properties:
M_tot: 0.00 Bohr magnetons per cell
E_tot: -2.100 eV/atom
E_form: -0.164 eV per atom

***

No. 2
A relaxed structure of Mg2PbCl, computed with PBE.

```
Mg2PbCl
1.0
3.7277 0.0000 0.0000
0.0000 4.5626 0.0000
0.0000 0.0000 5.8864
Mg Cl Pb
2 1 1
direct
0.5000 0.5000 0.3108
0.0000 0.0000 0.9003
0.5000 0.5000 0.8837
0.0000 0.0000 0.4052
```

Computed properties:
energy above the lowest structure with this stoichiometry: 36.8 meV per atom
M_tot: 0.00 Bohr magnetons per cell
ΔE_f (raw): -523 meV per atom
E_tot: -2.709 eV/atom

***

No. 3
A relaxed structure of LiPaIr, computed with PBE.

```
LiPaIr
1.0
-1.9878 1.0494 -1.3669
-1.3998 0.2337 2.2152
11.0305 21.6636 3.1225
Ir Pa Li
1 1 1
direct
0.0041 0.0041 0.0081
0.8917 0.8917 0.7834
0.9543 0.9543 0.9085
```

Computed properties:
energy above the lowest structure with this stoichiometry: 1562.9 meV per atom
M_tot: 0.00 Bohr magnetons per cell
E_tot: -5.615 eV/atom
E_form: 1.141 eV per atom

***

No. 4
A relaxed structure of HfIr2OsPt, computed with PBE.

```
HfIr2OsPt
1.0
-4.0552 -1.0096 -2.2484
2.4720 -2.2658 -3.4411
-0.3372 -4.0610 2.4318
Os Ir Hf Pt
1 2 1 1
direct
0.5000 0.5000 0.5000
0.5000 0.0000 0.0000
0.0000 0.0000 0.5000
0.0000 0.0000 0.0000
0.0000 0.5000 0.0000
```

Computed properties:
M_tot: 3.14 Bohr magnetons per cell
E_tot: -7.061 eV/atom
E_form: 1.928 eV per atom

***

No. 5
A relaxed structure of CeNi4C, computed with PBE.

```
CeNi4C
1.0
3.7637 0.0000 0.0000
0.0000 5.5236 0.0000
0.0000 0.0000 7.5299
C Ni Ce
2 8 2
direct
0.0000 0.0008 0.2500
0.0000 0.9992 0.7500
0.0000 0.0000 0.5000
0.5000 0.2950 0.5001
0.5000 0.7050 0.4999
0.5000 0.0005 0.2500
0.0000 0.0000 0.0000
0.5000 0.7050 0.0001
0.5000 0.9995 0.7500
0.5000 0.2950 0.9999
0.0000 0.4993 0.7500
0.0000 0.5007 0.2500
```

Computed properties:
M_tot: 0.00 Bohr magnetons per cell
E_tot: -6.466 eV/atom
E_form: -0.085 eV per atom

***

No. 6
A relaxed structure of Ti4Ni2N, computed with PBE.

```
Ti4Ni2N
1.0
6.9287 0.0000 4.0003
2.3096 6.5324 4.0003
0.0000 0.0000 8.0005
N Ti Ni
4 16 8
direct
0.1250 0.1250 0.1250
0.1250 0.6250 0.1250
0.1250 0.1250 0.6250
0.6250 0.1250 0.1250
0.4321 0.4321 0.0679
0.6250 0.6250 0.1250
0.8179 0.1821 0.8179
0.4321 0.0679 0.4321
0.1821 0.8179 0.1821
0.0679 0.0679 0.4321
0.8179 0.1821 0.1821
0.4321 0.0679 0.0679
0.0679 0.4321 0.0679
0.6250 0.6250 0.6250
0.0679 0.4321 0.4321
0.1250 0.6250 0.6250
0.1821 0.1821 0.8179
0.8179 0.8179 0.1821
0.1821 0.8179 0.8179
0.6250 0.1250 0.6250
0.8359 0.8359 0.8359
0.4923 0.8359 0.8359
0.8359 0.8359 0.4923
0.4141 0.7577 0.4141
0.4141 0.4141 0.4141
0.4141 0.4141 0.7577
0.8359 0.4923 0.8359
0.7577 0.4141 0.4141
```

Computed properties:
energy above the lowest structure with this stoichiometry: 0.0 meV per atom
M_tot: 0.01 Bohr magnetons per cell
ΔE_f (raw): -828 meV per atom
E_tot: -8.180 eV/atom

***

No. 7
A relaxed structure of CeNiH3, computed with PBE.

```
CeNiH3
1.0
-0.7260 -1.8118 3.0439
-1.3519 -2.7303 -1.9476
3.2742 -1.5291 -0.1292
Ni H Ce
1 3 1
direct
0.0000 0.0000 0.0000
0.5000 0.0000 0.0000
0.0000 0.5000 0.0000
0.0000 0.0000 0.5000
0.5000 0.5000 0.5000
```

Computed properties:
M_tot: 1.31 Bohr magnetons per cell
E_tot: -4.763 eV/atom

***

No. 8
A relaxed structure of Ho3NiHg, computed with PBE.

```
Ho3NiHg
1.0
-2.9699 -2.5520 -0.5695
3.7006 -2.8655 -6.4578
2.5588 -4.4702 6.6885
Ho Ni Hg
6 2 2
direct
0.2500 0.9398 0.7570
0.7500 0.3095 0.9261
0.2500 0.3195 0.5849
0.7500 0.6805 0.4151
0.7500 0.0602 0.2430
0.2500 0.6905 0.0739
0.2500 0.9330 0.4122
0.7500 0.0670 0.5878
0.2500 0.3611 0.2219
0.7500 0.6389 0.7781
```

Computed properties:
M_tot: 0.00 Bohr magnetons per cell
E_tot: -4.322 eV/atom
E_form: -0.359 eV per atom

***

No. 9
A relaxed structure of Ca2TlH, computed with PBE.

```
Ca2TlH
1.0
-2.9336 2.1799 1.0631
-3.5672 -1.1926 -0.5838
-2.1699 -3.1135 7.2107
Tl H Ca
1 1 2
direct
0.4990 0.4990 0.5029
0.6688 0.6688 0.9936
0.2691 0.2691 0.1927
0.0631 0.0631 0.8108
```

Computed properties:
energy above the lowest structure with this stoichiometry: 69.3 meV per atom
M_tot: 0.36 Bohr magnetons per cell
E_tot: -2.678 eV/atom

***

No. 10
A relaxed structure of EuCuO2, computed with PBE.

```
EuCuO2
1.0
-2.3805 -0.2725 2.8267
-3.5607 -0.7968 -0.6466
-0.8125 -5.9370 1.1722
O Cu Eu
2 1 1
direct
0.1046 0.1046 0.6863
0.8954 0.8954 0.3137
0.0000 0.0000 0.0000
0.5000 0.5000 0.5000
```

Computed properties:
M_tot: 6.00 Bohr magnetons per cell
ΔE_f (raw): -1936 meV per atom
E_tot: -8.007 eV/atom

***

No. 11
A relaxed structure of Y2BiSe2, computed with PBE.

```
Y2BiSe2
1.0
-7.5933 -2.5720 2.2803
0.3820 -6.1267 -5.6383
1.5111 -2.2260 2.5212
Bi Se Y
2 4 4
direct
0.5000 0.5000 0.0000
0.0000 0.0000 0.0000
0.3644 0.1356 0.5000
0.6356 0.8644 0.5000
0.8644 0.3644 0.5000
0.1356 0.6356 0.5000
0.1568 0.3432 0.0000
0.6568 0.1568 0.0000
0.3432 0.8432 0.0000
0.8432 0.6568 0.0000
```

Computed properties:
energy above the lowest structure with this stoichiometry: 0.0 meV per atom
M_tot: 0.00 Bohr magnetons per cell
ΔE_f (raw): -1296 meV per atom
E_tot: -6.051 eV/atom

***

No. 12
A relaxed structure of Sc2HgCl, computed with PBE.

```
Sc2HgCl
1.0
-3.6411 0.0946 5.2174
-5.9935 -2.0593 0.5701
5.7637 -1.5765 -2.1869
Hg Sc Cl
1 2 1
direct
0.7500 0.2500 0.5000
0.0000 0.0000 0.0000
0.2500 0.7500 0.5000
0.5000 0.5000 0.0000
```

Computed properties:
energy above the lowest structure with this stoichiometry: 400.3 meV per atom
M_tot: 0.39 Bohr magnetons per cell
ΔE_f (raw): -393 meV per atom
E_tot: -4.096 eV/atom